1.
Computed, not measured: an optimized crystal structure of TaZnIn4 at the PBE level of DFT.

Cell: 5.782 5.782 5.782 Å, 60.00 60.00 60.00°
Site moments in Bohr magnetons follow the coordinates.
Positions (direct):
In (0.875, 0.375, 0.375)  -0.01
In (0.375, 0.375, 0.875)  -0.01
In (0.375, 0.375, 0.375)  -0.01
In (0.375, 0.875, 0.375)  -0.01
Zn (0.000, 0.000, 0.000)  0.00
Ta (0.750, 0.750, 0.750)  0.61

Results
Space group   F-43m, No. 216
Fermi-level density of states   0.872 states/eV per atom
Crystal system   cubic
Formation energy   0.654 eV/atom

2.
Computed, not measured: an optimized crystal structure of KBaSc2 at the PBE level of DFT.

Cell: 7.302 7.302 7.302 Å, 150.06 131.50 58.05°
Positions (direct):
Sc (0.503, 0.503, 0.000)
Sc (0.997, 0.997, 0.000)
Ba (0.750, 0.250, 0.500)
K (0.250, 0.750, 0.500)

Results
Space group   Immm, No. 71
Polymorph energy (0 for the lowest one)   276 meV/atom
Fermi-level density of states   1.709 states/eV per atom
Crystal system   orthorhombic
Formation energy   0.617 eV/atom

3.
Computed, not measured: an optimized crystal structure of LaAlCu2 at the PBE level of DFT.

Cell: 3.211 3.203 7.143 Å, 90.00 90.00 90.00°
Positions (direct):
Al (0.500, 0.500, 0.825)
Cu (0.500, 0.500, 0.183)
Cu (0.000, 0.000, 0.007)
La (0.000, 0.000, 0.486)

Results
Space group   P4mm, No. 99
Fermi-level density of states   0.791 states/eV per atom
Crystal system   tetragonal
Formation energy   -0.103 eV/atom

4.
Computed, not measured: an optimized crystal structure of Ga2Ag2Sn at the PBE level of DFT.

Cell: 4.322 5.026 5.546 Å, 84.21 67.07 64.54°
Positions (direct):
Ag (0.082, 0.107, 0.230)
Ag (0.918, 0.893, 0.770)
Sn (0.500, 0.500, 0.000)
Ga (0.304, 0.289, 0.603)
Ga (0.696, 0.711, 0.397)

Results
Space group   C2/m, No. 12
Polymorph energy (0 for the lowest one)   0 meV/atom
Fermi-level density of states   0.405 states/eV per atom
Crystal system   monoclinic
Formation energy   0.049 eV/atom

5.
Computed, not measured: an optimized crystal structure of Cs2HgI7 at the PBE level of DFT.

Cell: 9.017 9.017 8.942 Å, 59.72 59.72 90.00°
Positions (direct):
I (0.773, 0.773, 0.000)
I (0.733, 0.733, 0.534)
I (0.500, 0.500, 0.000)
I (0.267, 0.267, 0.466)
I (0.227, 0.773, 0.000)
I (0.227, 0.227, 0.000)
I (0.773, 0.227, 0.000)
Hg (0.000, 0.000, 0.000)
Cs (0.750, 0.250, 0.500)
Cs (0.250, 0.750, 0.500)

Results
Space group   I4/mmm, No. 139
Fermi-level density of states   0.493 states/eV per atom
Crystal system   tetragonal
E_form (uncorrected)   -650.2 meV/atom

6.
Computed, not measured: an optimized crystal structure of Mg3NbPt4 at the PBE level of DFT.

Cell: 2.952 2.952 14.736 Å, 90.00 90.00 90.00°
Positions (direct):
Mg (0.500, 0.500, 0.500)
Mg (0.500, 0.500, 0.742)
Mg (0.500, 0.500, 0.258)
Nb (0.500, 0.500, 0.000)
Pt (0.000, 0.000, 0.870)
Pt (0.000, 0.000, 0.622)
Pt (0.000, 0.000, 0.130)
Pt (0.000, 0.000, 0.378)

Results
Space group   P4/mmm, No. 123
Fermi-level density of states   0.324 states/eV per atom
Crystal system   tetragonal
Formation energy   -0.811 eV/atom

7.
Computed, not measured: an optimized crystal structure of ScCr2GeS6 at the PBE level of DFT.

Cell: 6.224 6.225 6.603 Å, 61.88 61.89 60.00°
Site moments in Bohr magnetons follow the coordinates.
Positions (direct):
S (0.128, 0.387, 0.752)  -0.08
S (0.895, 0.624, 0.243)  -0.07
S (0.387, 0.733, 0.752)  -0.08
S (0.733, 0.128, 0.752)  -0.08
S (0.238, 0.895, 0.243)  -0.07
S (0.624, 0.238, 0.243)  -0.07
Cr (0.513, 0.513, 0.460)  2.74
Cr (0.011, 0.011, 0.968)  2.65
Ge (0.317, 0.317, 0.049)  -0.07
Sc (0.816, 0.816, 0.552)  0.01

Results
Space group   R3, No. 146
Fermi-level density of states   0.115 states/eV per atom
Crystal system   trigonal
E_form (uncorrected)   -817.2 meV/atom

8.
Computed, not measured: an optimized crystal structure of Zr2UGe at the PBE level of DFT.

Cell: 3.198 3.198 10.015 Å, 80.81 80.81 60.00°
Site moments in Bohr magnetons follow the coordinates.
Positions (direct):
Zr (0.758, 0.758, 0.727)  0.04
Zr (0.242, 0.242, 0.273)  0.04
U (0.000, 0.000, 0.000)  1.83
Ge (0.500, 0.500, 0.500)  0.01

Results
Space group   R-3m, No. 166
Fermi-level density of states   2.016 states/eV per atom
Crystal system   trigonal
Formation energy   0.023 eV/atom

9.
Computed, not measured: an optimized crystal structure of PmTmTlGa at the PBE level of DFT.

Cell: 5.258 5.258 5.258 Å, 60.00 60.00 60.00°
Positions (direct):
Tm (0.500, 0.500, 0.500)
Ga (0.250, 0.250, 0.250)
Tl (0.750, 0.750, 0.750)
Pm (0.000, 0.000, 0.000)

Results
Space group   F-43m, No. 216
Polymorph energy (0 for the lowest one)   34 meV/atom
Fermi-level density of states   0.406 states/eV per atom
Crystal system   cubic
Formation energy   -0.420 eV/atom

10.
Computed, not measured: an optimized crystal structure of Ba2GeHPd6 at the PBE level of DFT.

Cell: 6.065 6.923 6.069 Å, 64.22 60.03 90.01°
Positions (direct):
Pd (0.280, 0.820, 0.949)
Pd (0.720, 0.180, 0.051)
Pd (0.771, 0.820, 0.950)
Pd (0.770, 0.820, 0.461)
Pd (0.229, 0.180, 0.050)
Pd (0.230, 0.180, 0.539)
Ba (0.775, 0.327, 0.450)
Ba (0.225, 0.673, 0.550)
Ge (0.500, 0.500, 0.000)
H (0.000, 0.000, 0.000)

Results
Space group   C2/m, No. 12
E   -4.79 eV/atom
Fermi-level density of states   0.189 states/eV per atom
Crystal system   monoclinic

11.
Computed, not measured: an optimized crystal structure of Pa2NiAs2 at the PBE level of DFT.

Cell: 3.983 5.798 9.871 Å, 105.96 90.00 90.00°
Positions (direct):
Pa (0.750, 0.565, 0.169)
Pa (0.250, 0.435, 0.831)
Pa (0.250, 0.203, 0.387)
Pa (0.750, 0.797, 0.613)
Ni (0.750, 0.762, 0.930)
Ni (0.250, 0.238, 0.070)
As (0.250, 0.708, 0.392)
As (0.750, 0.292, 0.608)
As (0.750, 0.059, 0.165)
As (0.250, 0.941, 0.835)

Results
Space group   P2_1/m, No. 11
Fermi-level density of states   1.088 states/eV per atom
Crystal system   monoclinic
Formation energy   -0.741 eV/atom

12.
Computed, not measured: an optimized crystal structure of MnV2Pd5 at the PBE level of DFT.

Cell: 3.922 4.860 13.450 Å, 90.00 90.00 113.80°
Site moments in Bohr magnetons follow the coordinates.
Positions (direct):
Pd (0.502, 0.003, 0.750)  0.05
Pd (0.498, 0.997, 0.250)  0.05
Pd (0.949, 0.898, 0.900)  0.06
Pd (0.051, 0.102, 0.100)  0.06
Pd (0.352, 0.703, 0.040)  0.02
Pd (0.648, 0.297, 0.540)  0.02
Pd (0.648, 0.297, 0.960)  0.02
Pd (0.051, 0.102, 0.400)  0.06
Pd (0.949, 0.898, 0.600)  0.06
Pd (0.352, 0.703, 0.460)  0.02
V (0.240, 0.480, 0.649)  -0.87
V (0.240, 0.480, 0.851)  -0.87
V (0.760, 0.520, 0.351)  -0.87
V (0.760, 0.520, 0.149)  -0.87
Mn (0.216, 0.431, 0.250)  2.00
Mn (0.784, 0.569, 0.750)  2.00

Results
Space group   Cmcm, No. 63
Polymorph energy (0 for the lowest one)   8 meV/atom
Fermi-level density of states   0.793 states/eV per atom
Crystal system   orthorhombic
Formation energy   -0.115 eV/atom

13.
Computed, not measured: an optimized crystal structure of Re2AsPt at the PBE level of DFT.

Cell: 4.053 2.895 5.446 Å, 73.60 90.00 90.00°
Positions (direct):
As (0.500, 0.250, 0.250)
Re (0.000, 0.121, 0.011)
Re (0.000, 0.379, 0.489)
Pt (0.500, 0.750, 0.750)

Results
Space group   P2/m, No. 10
Fermi-level density of states   0.841 states/eV per atom
Crystal system   monoclinic
Formation energy   0.265 eV/atom

14.
Computed, not measured: an optimized crystal structure of Tb6Bi3AsSe2 at the PBE level of DFT.

Cell: 4.291 8.632 9.645 Å, 103.38 102.85 90.00°
Positions (direct):
Bi (0.500, 0.500, 0.000)
Bi (0.169, 0.833, 0.337)
Bi (0.831, 0.167, 0.663)
As (0.500, 0.000, 0.000)
Se (0.167, 0.334, 0.334)
Se (0.833, 0.666, 0.666)
Tb (0.670, 0.573, 0.339)
Tb (0.330, 0.427, 0.661)
Tb (0.341, 0.910, 0.682)
Tb (0.003, 0.233, 0.006)
Tb (0.997, 0.767, 0.994)
Tb (0.659, 0.090, 0.318)

Results
Space group   C2/m, No. 12
Fermi-level density of states   0.367 states/eV per atom
Crystal system   monoclinic
E_form (uncorrected)   -1276.9 meV/atom

15.
Computed, not measured: an optimized crystal structure of Ho5Bi2N at the PBE level of DFT.

Cell: 4.449 8.463 13.799 Å, 90.00 90.00 105.24°
Positions (direct):
Ho (0.106, 0.211, 0.120)
Ho (0.260, 0.520, 0.750)
Ho (0.304, 0.609, 0.059)
Ho (0.696, 0.391, 0.559)
Ho (0.894, 0.789, 0.880)
Ho (0.696, 0.391, 0.941)
Ho (0.304, 0.609, 0.441)
Ho (0.894, 0.789, 0.620)
Ho (0.106, 0.211, 0.380)
Ho (0.740, 0.480, 0.250)
Bi (0.083, 0.167, 0.626)
Bi (0.083, 0.167, 0.874)
Bi (0.917, 0.833, 0.374)
Bi (0.917, 0.833, 0.126)
N (0.188, 0.377, 0.250)
N (0.812, 0.623, 0.750)

Results
Space group   Cmcm, No. 63
Fermi-level density of states   0.691 states/eV per atom
Crystal system   orthorhombic
E_form (uncorrected)   -416.8 meV/atom

16.
Computed, not measured: an optimized crystal structure of Ba4ZrO6 at the PBE level of DFT.

Cell: 7.488 7.488 7.488 Å, 89.67 89.67 89.67°
Positions (direct):
Zr (0.000, 0.000, 0.000)
Zr (0.500, 0.500, 0.500)
O (0.074, 0.943, 0.274)
O (0.557, 0.426, 0.226)
O (0.926, 0.057, 0.726)
O (0.774, 0.443, 0.574)
O (0.274, 0.074, 0.943)
O (0.726, 0.926, 0.057)
O (0.574, 0.774, 0.443)
O (0.426, 0.226, 0.557)
O (0.057, 0.726, 0.926)
O (0.226, 0.557, 0.426)
O (0.943, 0.274, 0.074)
O (0.443, 0.574, 0.774)
Ba (0.750, 0.111, 0.389)
Ba (0.611, 0.250, 0.889)
Ba (0.250, 0.889, 0.611)
Ba (0.889, 0.611, 0.250)
Ba (0.250, 0.250, 0.250)
Ba (0.111, 0.389, 0.750)
Ba (0.389, 0.750, 0.111)
Ba (0.750, 0.750, 0.750)

Results
Space group   R-3c, No. 167
Fermi-level density of states   0.000 states/eV per atom
Crystal system   trigonal
E_form (uncorrected)   -2773.8 meV/atom

17.
Computed, not measured: an optimized crystal structure of Tb2MnZn at the PBE level of DFT.

Cell: 3.578 3.578 7.093 Å, 90.00 90.00 90.00°
Site moments in Bohr magnetons follow the coordinates.
Positions (direct):
Tb (0.000, 0.000, 0.253)  -0.18
Tb (0.000, 0.000, 0.747)  -0.18
Mn (0.500, 0.500, 0.500)  3.46
Zn (0.500, 0.500, 0.000)  0.01

Results
Space group   P4/mmm, No. 123
Fermi-level density of states   1.113 states/eV per atom
Crystal system   tetragonal
Formation energy   -0.070 eV/atom

18.
Computed, not measured: an optimized crystal structure of Pr5Cu6 at the PBE level of DFT.

Cell: 3.872 4.420 15.105 Å, 98.41 90.00 90.00°
Positions (direct):
Cu (0.500, 0.084, 0.169)
Cu (0.500, 0.459, 0.919)
Cu (0.500, 0.541, 0.081)
Cu (0.000, 0.726, 0.452)
Cu (0.000, 0.274, 0.548)
Cu (0.500, 0.916, 0.831)
Pr (0.500, 0.803, 0.607)
Pr (0.000, 0.000, 0.000)
Pr (0.000, 0.384, 0.769)
Pr (0.000, 0.616, 0.231)
Pr (0.500, 0.197, 0.393)

Results
Space group   Cmmm, No. 65
Fermi-level density of states   0.858 states/eV per atom
Crystal system   orthorhombic
Formation energy   -0.164 eV/atom

19.
Computed, not measured: an optimized crystal structure of Th3TcHg at the PBE level of DFT.

Cell: 4.738 6.148 10.490 Å, 90.00 90.00 112.66°
Positions (direct):
Th (0.651, 0.303, 0.463)
Th (0.349, 0.697, 0.537)
Th (0.930, 0.860, 0.250)
Th (0.349, 0.697, 0.963)
Th (0.070, 0.140, 0.750)
Th (0.651, 0.303, 0.037)
Hg (0.227, 0.454, 0.250)
Hg (0.773, 0.546, 0.750)
Tc (0.000, 0.000, 0.500)
Tc (0.000, 0.000, 0.000)

Results
Space group   Cmcm, No. 63
Polymorph energy (0 for the lowest one)   7 meV/atom
Fermi-level density of states   1.182 states/eV per atom
Crystal system   orthorhombic
Formation energy   -0.167 eV/atom

20.
Computed, not measured: an optimized crystal structure of LiDy2AlS5 at the PBE level of DFT.

Cell: 3.773 8.505 11.142 Å, 90.00 90.00 102.82°
Positions (direct):
S (0.956, 0.912, 0.564)
S (0.499, 0.999, 0.282)
S (0.293, 0.587, 0.668)
S (0.044, 0.088, 0.064)
S (0.707, 0.413, 0.168)
S (0.686, 0.372, 0.851)
S (0.501, 0.001, 0.782)
S (0.641, 0.282, 0.500)
S (0.359, 0.718, 0.000)
S (0.314, 0.628, 0.351)
Al (0.430, 0.861, 0.456)
Al (0.570, 0.139, 0.956)
Li (0.214, 0.428, 0.019)
Li (0.786, 0.572, 0.519)
Dy (0.868, 0.735, 0.804)
Dy (0.122, 0.244, 0.681)
Dy (0.132, 0.265, 0.304)
Dy (0.878, 0.756, 0.181)

Results
Space group   Cmc2_1, No. 36
Crystal system   orthorhombic
E_form (uncorrected)   -1662.5 meV/atom

21.
Computed, not measured: an optimized crystal structure of Ba2SrLa2 at the PBE level of DFT.

Cell: 13.296 13.296 13.296 Å, 159.97 159.97 28.47°
Positions (direct):
Ba (0.616, 0.616, 0.000)
Ba (0.384, 0.384, 0.000)
La (0.750, 0.250, 0.500)
La (0.250, 0.750, 0.500)
Sr (0.000, 0.000, 0.000)

Results
Space group   I4/mmm, No. 139
Polymorph energy (0 for the lowest one)   73 meV/atom
Fermi-level density of states   1.673 states/eV per atom
Crystal system   tetragonal
Formation energy   0.300 eV/atom

22.
Computed, not measured: an optimized crystal structure of Mn2ZnBr at the PBE level of DFT.

Cell: 3.289 3.289 7.316 Å, 90.00 90.00 90.00°
Site moments in Bohr magnetons follow the coordinates.
Positions (direct):
Br (0.500, 0.500, 0.834)  0.10
Mn (0.500, 0.500, 0.241)  3.33
Mn (0.000, 0.000, 0.027)  3.78
Zn (0.000, 0.000, 0.399)  -0.07

Results
Space group   P4mm, No. 99
Polymorph energy (0 for the lowest one)   28 meV/atom
Fermi-level density of states   0.546 states/eV per atom
Crystal system   tetragonal
E_form (uncorrected)   225.1 meV/atom

23.
Computed, not measured: an optimized crystal structure of Tm2ZrGa6 at the PBE level of DFT.

Cell: 3.773 7.291 7.291 Å, 120.00 90.00 90.00°
Positions (direct):
Ga (0.500, 0.331, 0.331)
Ga (0.500, 0.331, 0.000)
Ga (0.500, 0.000, 0.669)
Ga (0.500, 0.000, 0.331)
Ga (0.500, 0.669, 0.669)
Ga (0.500, 0.669, 0.000)
Zr (0.000, 0.000, 0.000)
Tm (0.000, 0.667, 0.333)
Tm (0.000, 0.333, 0.667)

Results
Space group   P6/mmm, No. 191
Fermi-level density of states   0.349 states/eV per atom
Crystal system   hexagonal
Formation energy   -0.552 eV/atom